Record 1
Ho8AgRu2 (PBE, optimized geometry); Fermi-level density of states = 10.427 states/eV/cell; total magnetic moment = 0.00 μB/cell; space-group type = Cm (8); energy of formation = -0.20 eV per atom; electronic total energy = -5.475 eV per atom
1.0
-1.249 4.864 -2.408
4.116 -3.041 -5.719
-7.081 -2.944 0.286
Ho Ag Ru
8 1 2
Direct
0.589 0.334 0.072
0.589 0.072 0.334
0.196 0.382 0.382
0.000 0.244 0.763
0.000 0.763 0.244
0.803 0.623 0.623
0.411 0.935 0.673
0.411 0.673 0.935
0.004 0.002 0.002
0.499 0.692 0.314
0.499 0.314 0.692

Record 2
HfRh2Pb (PBE, optimized geometry); Fermi-level density of states = 3.577 states/eV/cell; total magnetic moment = 0.00 μB/cell; space-group type = P4/mmm (123); energy of formation = -0.52 eV per atom; electronic total energy = -7.608 eV per atom
1.0
-2.734 0.538 -1.758
1.419 -1.384 -2.631
-2.444 -6.155 1.919
Pb Rh Hf
1 2 1
Direct
0.500 0.500 0.500
0.000 0.000 0.785
0.000 0.000 0.215
0.500 0.500 0.000

Record 3
ZrHgSb2 (PBE, optimized geometry); Fermi-level density of states = 2.506 states/eV/cell; total magnetic moment = 0.00 μB/cell; space-group type = C2/m (12); electronic total energy = -4.381 eV per atom
1.0
-4.853 -0.083 2.641
-5.314 -1.469 -0.362
0.461 -5.185 2.321
Hg Sb Zr
1 2 1
Direct
0.750 0.750 0.750
0.983 0.983 0.031
0.517 0.517 0.469
0.250 0.250 0.250